(1)
CsHfMo2H | PBE-GGA | optimized geometry

The total energy comes out at -18.24 eV for the cell shown. The value obtained for the density of states at the Fermi level is 1.362 states/eV per atom. The mass density is 6.56 Mg/m³.

Lattice parameters (Å, degrees): 4.8995 5.3162 4.8995 90.00 90.00 90.00
Element x y z (fractional)
Cs (0.0000, 0.0000, 0.0000)
H (0.5000, 0.5000, 0.5000)
Mo (0.0000, 0.0000, 0.5000)
Mo (0.5000, 0.0000, 0.0000)
Hf (0.0000, 0.5000, 0.0000)


(2)
Y3Ho4Er4 | PBE-GGA | optimized geometry

The total energy comes out at -54.30 eV for the cell shown. The value obtained for the density of states at the Fermi level is 1.575 states/eV per atom. The mass density is 7.56 Mg/m³. As for the energy of formation from the pure elements: 0.150 eV per atom.

Lattice parameters (Å, degrees): 5.6079 6.6094 10.4450 90.00 90.00 115.10
Element x y z (fractional)
Y (0.4075, 0.8151, 0.2948)
Y (0.4075, 0.8151, 0.7052)
Y (0.2536, 0.5073, 0.0000)
Ho (0.7534, 0.5068, 0.7904)
Ho (0.7534, 0.5068, 0.2096)
Ho (0.8906, 0.7812, 0.5000)
Ho (0.9576, 0.9153, 0.0000)
Er (0.6200, 0.2400, 0.5000)
Er (0.5512, 0.1024, 0.0000)
Er (0.1018, 0.2035, 0.7058)
Er (0.1018, 0.2035, 0.2942)